This record from the Alexandria database describes TcHg2W at its PBEsol-relaxed geometry. The functional is SCAN.

## Properties
Density of states at the Fermi level ... 2.372 states/eV per cell
Magnetization ... 0.0 μB/f.u.
Space group ... Imm2 (44)
Raw total energy ... -59.6112 eV/atom
E_form ... 659 meV/atom

a = 5.5066 Å, b = 5.5066 Å, c = 5.5066 Å
α = 146.86°, β = 128.10°, γ = 62.98°
With the nearest neighbours (Å) after each atom.
Fractional positions:
Tc  0.0000  0.0000  0.0000  2 W 2.42
Hg  0.2656  0.7656  0.5000  4 W 2.90, 2 Tc 2.95, 6 Hg 3.00-3.22
Hg  0.5376  0.5376  0.0000  4 Tc 2.90, 2 W 2.96, 6 Hg 3.00-3.22
W  0.8046  0.3046  0.5000  2 Tc 2.42

=====

This record from the Alexandria database describes TcHg2W at its PBEsol-relaxed geometry. The functional is SCAN.

## Properties
Density of states at the Fermi level ... 2.813 states/eV per cell
Magnetization ... 0.0 μB/f.u.
Space group ... C2/m (12)
Raw total energy ... -59.4923 eV/atom
E_form ... 778 meV/atom

a = 5.0200 Å, b = 5.0200 Å, c = 4.9321 Å
α = 100.05°, β = 100.05°, γ = 33.87°
With the nearest neighbours (Å) after each atom.
Fractional positions:
Tc  0.0000  0.0000  0.0000  4 W 2.87, 6 Hg 2.87-2.90, 2 Tc 2.92
Hg  0.2516  0.2516  0.7520  6 Hg 2.85-2.92, 3 Tc 2.87-2.90, 3 W 2.88-2.90
Hg  0.7484  0.7484  0.2480  6 Hg 2.85-2.92, 3 Tc 2.87-2.90, 3 W 2.88-2.90
W  0.5000  0.5000  0.5000  4 Tc 2.87, 6 Hg 2.88-2.90, 2 W 2.92